Below is crystalline Ba4AlCo at its relaxed geometry, with properties calculated at the GGA-PBE level.

Unit cell a=7.0855 b=7.0855 c=7.0855 alpha=60.00 beta=60.00 gamma=60.00
Sites, in units of the cell vectors:
Ba1 0.1252 0.1252 0.1252
Ba2 0.1252 0.1252 0.6244
Ba3 0.1252 0.6244 0.1252
Ba4 0.6244 0.1252 0.1252
Al1 0.5000 0.5000 0.5000
Co1 0.7500 0.7500 0.7500

Results
* spin magnetization: 1.452 μB per cell
* crystal system: cubic
* final energy: -12.82 eV/cell
* space group: F-43m
* DFT formation energy: 0.954 eV/atom
* mass density: 4.19 g/cm³